[1]
Material: KTlBr3
Method: DFT, GGA-PBE
State: optimized geometry

Structure (CIF):
```
data_KTlBr3
_space_group_name_H-M_alt 'P 1'
_space_group_IT_number 1
_space_group_name_Hall 'P 1'
_cell_length_a 6.128
_cell_length_b 6.128
_cell_length_c 6.128
_cell_angle_alpha 90.00
_cell_angle_beta 90.00
_cell_angle_gamma 90.00
loop_
_atom_site_label
_atom_site_type_symbol
_atom_site_fract_x
_atom_site_fract_y
_atom_site_fract_z
K1 K 0.000 0.000 0.000
Tl1 Tl 0.500 0.500 0.500
Br1 Br 0.000 0.000 0.500
Br2 Br 0.000 0.500 0.000
Br3 Br 0.500 0.000 0.000
```

Computed properties:
The space group is Pm-3m. For the volume, the calculation gives 46.03 A^3/atom. The size of the total moment is 1.12 μB per cell. The calculated total energy comes out at -2.36 eV per atom. For the formation energy (no corrections), the calculation gives -3.333 eV/f.u.


[2]
Material: KTlBr2
Method: DFT, GGA-PBE
State: optimized geometry

Structure (CIF):
```
data_KTlBr2
_space_group_name_H-M_alt 'P 1'
_space_group_IT_number 1
_space_group_name_Hall 'P 1'
_cell_length_a 8.569
_cell_length_b 8.569
_cell_length_c 8.569
_cell_angle_alpha 31.40
_cell_angle_beta 31.40
_cell_angle_gamma 31.40
loop_
_atom_site_label
_atom_site_type_symbol
_atom_site_fract_x
_atom_site_fract_y
_atom_site_fract_z
K1 K 0.000 0.000 0.000
Tl1 Tl 0.832 0.832 0.832
Br1 Br 0.413 0.413 0.413
Br2 Br 0.585 0.585 0.585
```

Computed properties:
The space group is R3m. For the volume, the calculation gives 37.92 A^3/atom. The size of the total moment is 0.00 μB per cell. The calculated total energy comes out at -2.99 eV per atom. For the formation energy (no corrections), the calculation gives -5.138 eV/f.u. The calculation puts the relative energy among the computed polymorphs at 27 meV per atom.


[3]
Material: KTlBr2
Method: DFT, GGA-PBE
State: optimized geometry

Structure (CIF):
```
data_KTlBr2
_space_group_name_H-M_alt 'P 1'
_space_group_IT_number 1
_space_group_name_Hall 'P 1'
_cell_length_a 9.193
_cell_length_b 9.193
_cell_length_c 9.193
_cell_angle_alpha 132.62
_cell_angle_beta 132.62
_cell_angle_gamma 69.25
loop_
_atom_site_label
_atom_site_type_symbol
_atom_site_fract_x
_atom_site_fract_y
_atom_site_fract_z
K1 K 0.000 0.000 0.000
K2 K 0.750 0.250 0.500
Tl1 Tl 0.250 0.750 0.500
Tl2 Tl 0.500 0.500 0.000
Br1 Br 0.123 0.625 0.998
Br2 Br 0.375 0.373 0.498
Br3 Br 0.627 0.125 0.002
Br4 Br 0.875 0.877 0.502
```

Computed properties:
The space group is I-42d. For the volume, the calculation gives 51.59 A^3/atom. The size of the total moment is 0.00 μB per cell. The calculated total energy comes out at -2.93 eV per atom. For the formation energy (no corrections), the calculation gives -4.905 eV/f.u. The calculation puts the relative energy among the computed polymorphs at 85 meV per atom.


[4]
Material: KTl5Br6
Method: DFT, GGA-PBE
State: optimized geometry

Structure (CIF):
```
data_KTl5Br6
_space_group_name_H-M_alt 'P 1'
_space_group_IT_number 1
_space_group_name_Hall 'P 1'
_cell_length_a 8.246
_cell_length_b 8.246
_cell_length_c 8.245
_cell_angle_alpha 99.57
_cell_angle_beta 99.57
_cell_angle_gamma 120.05
loop_
_atom_site_label
_atom_site_type_symbol
_atom_site_fract_x
_atom_site_fract_y
_atom_site_fract_z
K1 K 0.000 0.000 0.000
Tl1 Tl 0.166 0.834 0.500
Tl2 Tl 0.333 0.667 0.000
Tl3 Tl 0.500 0.500 0.500
Tl4 Tl 0.667 0.333 0.000
Tl5 Tl 0.834 0.166 0.500
Br1 Br 0.083 0.412 0.247
Br2 Br 0.247 0.247 0.751
Br3 Br 0.412 0.083 0.247
Br4 Br 0.588 0.917 0.753
Br5 Br 0.753 0.753 0.249
Br6 Br 0.917 0.588 0.753
```

Computed properties:
The space group is C2/m. For the volume, the calculation gives 38.13 A^3/atom. The size of the total moment is 0.00 μB per cell. The calculated total energy comes out at -2.93 eV per atom. For the formation energy (no corrections), the calculation gives -12.144 eV/f.u.


[5]
Material: KTl4Br6
Method: DFT, GGA-PBE
State: optimized geometry

Structure (CIF):
```
data_KTl4Br6
_space_group_name_H-M_alt 'P 1'
_space_group_IT_number 1
_space_group_name_Hall 'P 1'
_cell_length_a 7.949
_cell_length_b 7.949
_cell_length_c 23.570
_cell_angle_alpha 90.00
_cell_angle_beta 90.00
_cell_angle_gamma 146.35
loop_
_atom_site_label
_atom_site_type_symbol
_atom_site_fract_x
_atom_site_fract_y
_atom_site_fract_z
K1 K 0.156 0.844 0.750
K2 K 0.844 0.156 0.250
Tl1 Tl 0.097 0.903 0.134
Tl2 Tl 0.097 0.903 0.366
Tl3 Tl 0.364 0.636 0.047
Tl4 Tl 0.364 0.636 0.453
Tl5 Tl 0.636 0.364 0.547
Tl6 Tl 0.636 0.364 0.953
Tl7 Tl 0.903 0.097 0.634
Tl8 Tl 0.903 0.097 0.866
Br1 Br 0.000 0.000 0.000
Br2 Br 0.000 0.000 0.500
Br3 Br 0.185 0.815 0.250
Br4 Br 0.270 0.730 0.587
Br5 Br 0.270 0.730 0.913
Br6 Br 0.455 0.545 0.166
Br7 Br 0.455 0.545 0.334
Br8 Br 0.545 0.455 0.666
Br9 Br 0.545 0.455 0.834
Br10 Br 0.730 0.270 0.087
Br11 Br 0.730 0.270 0.413
Br12 Br 0.815 0.185 0.750
```

Computed properties:
The space group is Cmcm. For the volume, the calculation gives 37.51 A^3/atom. The size of the total moment is 0.00 μB per cell. The calculated total energy comes out at -2.79 eV per atom. For the formation energy (no corrections), the calculation gives -10.121 eV/f.u.


[6]
Material: KTlBr2
Method: DFT, GGA-PBE
State: optimized geometry

Structure (CIF):
```
data_KTlBr2
_space_group_name_H-M_alt 'P 1'
_space_group_IT_number 1
_space_group_name_Hall 'P 1'
_cell_length_a 5.088
_cell_length_b 6.776
_cell_length_c 6.776
_cell_angle_alpha 37.78
_cell_angle_beta 90.00
_cell_angle_gamma 90.00
loop_
_atom_site_label
_atom_site_type_symbol
_atom_site_fract_x
_atom_site_fract_y
_atom_site_fract_z
K1 K 0.000 0.000 0.000
Tl1 Tl 0.500 0.759 0.759
Br1 Br 0.000 0.261 0.261
Br2 Br 0.500 0.517 0.517
```

Computed properties:
The space group is Amm2. For the volume, the calculation gives 35.78 A^3/atom. The size of the total moment is 0.00 μB per cell. The calculated total energy comes out at -2.98 eV per atom. For the formation energy (no corrections), the calculation gives -5.099 eV/f.u. The calculation puts the relative energy among the computed polymorphs at 37 meV per atom.